1.
Material: CaAgRh
Method: DFT, PBE
State: optimized geometry

Cell: 5.3680 4.6638 5.5658 Å, 90.00 112.86 90.00°
Space group P2_1/m (No. 11)
One atom of each set of equivalent atoms:
Ca: 0.0205 0.2500 0.2593 x2
Ag: 0.4251 0.2500 0.8572 x2
Rh: 0.4359 0.7500 0.5761 x2

The value obtained for the total magnetization is 0.000 μB per formula unit. The density of states at the Fermi level comes out at 4.5 states/eV per cell. The formation energy comes out at -59 kJ/mol of formula units.

---

2.
Material: AcTb2Rh9
Method: DFT, PBE
State: optimized geometry

Cell: 5.3348 5.3348 26.4219 Å, 90.00 90.00 120.00°
Space group R-3m (No. 166, hexagonal axes)
One atom of each set of equivalent atoms:
Ac: 0.0000 0.0000 0.0000 x3
Tb: 0.0000 0.0000 0.1401 x6
Rh: 0.0000 0.0000 0.3330 x6
Rh: 0.0000 0.0000 0.5000 x3
Rh: 0.0007 0.5004 0.9159 x18

The value obtained for the total magnetization is 0.000 μB per formula unit. The density of states at the Fermi level comes out at 43.2 states/eV per cell. The formation energy comes out at -627 kJ/mol of formula units.

---

3.
Material: Na2In5Ga4
Method: DFT, PBE
State: optimized geometry

Cell: 11.8008 6.5878 9.2520 Å, 90.00 129.47 90.00°
Space group C2/m (No. 12)
One atom of each set of equivalent atoms:
Na: 0.2020 0.0000 0.2577 x4
In: 0.0000 0.5000 0.0000 x2
In: 0.0022 0.2646 0.6782 x8
Ga: 0.2183 0.0000 0.6329 x4
Ga: 0.2412 0.0000 0.9640 x4

The value obtained for the total magnetization is 0.000 μB per formula unit. The density of states at the Fermi level comes out at 8.3 states/eV per cell. The formation energy comes out at -4 kJ/mol of formula units.

---

4.
Material: Nd4MgIr
Method: DFT, PBE
State: optimized geometry

Cell: 9.2488 13.3566 6.2015 Å, 90.00 107.14 90.00°
Space group C2/c (No. 15)
One atom of each set of equivalent atoms:
Nd: 0.1113 0.1710 0.0477 x8
Nd: 0.2233 0.4141 0.3893 x8
Mg: 0.0000 0.3842 0.7500 x4
Ir: 0.0000 0.0000 0.2500 x4

The value obtained for the total magnetization is 0.000 μB per formula unit. The density of states at the Fermi level comes out at 32.3 states/eV per cell. The formation energy comes out at -141 kJ/mol of formula units.

---

5.
Material: La8SiS3I4
Method: DFT, PBE
State: optimized geometry

Cell: 8.5114 8.5114 23.5592 Å, 90.00 90.00 120.00°
Space group R-3m (No. 166, hexagonal axes)
One atom of each set of equivalent atoms:
La: 0.0000 0.0000 0.2302 x6
La: 0.0071 0.5035 0.7684 x18
Si: 0.0000 0.0000 0.5000 x3
S: 0.0000 0.5000 0.5000 x9
I: 0.0000 0.0000 0.0000 x3
I: 0.0000 0.5000 0.0000 x9

The value obtained for the total magnetization is 0.001 μB per formula unit. The density of states at the Fermi level comes out at 26.4 states/eV per cell. For the energy relative to the elements, uncorrected, the calculation gives -1480 meV/atom.

---

6.
Material: MnVNiGe
Method: DFT, PBE
State: optimized geometry

Cell: 5.7963 5.7963 5.7963 Å, 90.00 90.00 90.00°
Space group F-43m (No. 216)
One atom of each set of equivalent atoms:
Mn: 0.0000 0.0000 0.0000 x4
V: 0.2500 0.2500 0.2500 x4
Ni: 0.0000 0.0000 0.5000 x4
Ge: 0.2500 0.2500 0.7500 x4

The value obtained for the total magnetization is 1.744 μB per formula unit. The density of states at the Fermi level comes out at 13.9 states/eV per cell. The formation energy comes out at -64 kJ/mol of formula units.

---

7.
Material: AlCu4Si
Method: DFT, PBE
State: optimized geometry

Cell: 3.5974 17.6126 4.9836 Å, 90.00 90.00 90.00°
Space group Cmcm (No. 63)
One atom of each set of equivalent atoms:
Al: 0.0000 0.2279 0.2500 x4
Cu: 0.0000 0.0752 0.2500 x4
Cu: 0.0000 0.3508 0.0022 x8
Cu: 0.0000 0.5000 0.0000 x4
Si: 0.0000 0.0793 0.7500 x4

The value obtained for the total magnetization is 0.000 μB per formula unit. The density of states at the Fermi level comes out at 7.5 states/eV per cell. For the energy relative to the elements, uncorrected, the calculation gives -89 meV/atom.

---

8.
Material: MnIn2Pt
Method: DFT, PBE
State: optimized geometry

Cell: 9.0708 3.2014 5.2963 Å, 90.00 101.84 90.00°
Space group C2/m (No. 12)
One atom of each set of equivalent atoms:
Mn: 0.0000 0.0000 0.0000 x2
In: 0.2467 0.0000 0.7456 x4
Pt: 0.0000 0.5000 0.5000 x2

The value obtained for the total magnetization is 3.819 μB per formula unit. The density of states at the Fermi level comes out at 4.9 states/eV per cell. The formation energy comes out at -7 kJ/mol of formula units.

---

no.,V (A^3/atom)
1,21.40
2,18.09
3,25.24
4,30.50
5,30.79
6,12.17
7,13.16
8,18.82